This record from the Alexandria database describes crystalline Ca2TaFe at its relaxed geometry. The functional is PBEsol.

ΔH_f (0 K) in eV per atom: 0.42
VASP energy in eV/atom: -6.023

a b c (Å): 3.116 3.768 16.933
angles (deg): 90.00 90.00 90.00
Space group Immm (No. 71)
Unique sites:
1 Ca 0.000 0.000 0.153 x4
2 Ta 0.000 0.500 0.000 x2
3 Fe 0.000 0.500 0.500 x2